# 1
The following is a DFT calculation (PBE) of an optimized crystal structure of Hf5AlFe4.

a = 3.165 Å, b = 3.165 Å, c = 16.140 Å
α = 90.00°, β = 90.00°, γ = 90.00°
Space group P4/mmm (No. 123)
Asymmetric unit:
Hf: 0.000 0.000 0.000
Hf: 0.000 0.000 0.193
Hf: 0.000 0.000 0.385
Al: 0.500 0.500 0.500
Fe: 0.500 0.500 0.097
Fe: 0.500 0.500 0.293

## Properties
Its formation energy is -0.3095 eV per atom. Its density of states at the Fermi level is 0.54 states/eV per atom.

---

# 2
The following is a DFT calculation (PBE) of an optimized crystal structure of Na7Ti11O24.

a = 10.594 Å, b = 18.410 Å, c = 6.221 Å
α = 90.00°, β = 123.64°, γ = 90.00°
Space group C2/m (No. 12)
Asymmetric unit:
Na: 0.000 0.000 0.000
Na: 0.114 0.500 0.851
Na: 0.127 0.161 0.891
Ti: 0.000 0.000 0.500
Ti: 0.000 0.328 0.000
Ti: 0.000 0.330 0.500
Ti: 0.246 0.417 0.478
Ti: 0.250 0.250 0.500
O: 0.010 0.398 0.251
O: 0.021 0.258 0.277
O: 0.041 0.076 0.322
O: 0.220 0.500 0.636
O: 0.226 0.329 0.254
O: 0.228 0.337 0.680
O: 0.230 0.000 0.725

## Properties
As for the formation energy from raw total energies: -2.704 eV/atom. Its density of states at the Fermi level is 0.29 states/eV per atom.

---

# 3
The following is a DFT calculation (PBE) of an optimized crystal structure of DyHo2Hg6.

a = 14.347 Å, b = 11.666 Å, c = 5.420 Å
α = 90.00°, β = 100.00°, γ = 90.00°
Space group C2/c (No. 15)
Asymmetric unit:
Dy: 0.000 0.126 0.250
Ho: 0.167 0.375 0.084
Hg: 0.055 0.375 0.529
Hg: 0.112 0.125 0.804
Hg: 0.223 0.125 0.362

## Properties
Its formation energy is -0.3920 eV per atom. Its density of states at the Fermi level is 0.44 states/eV per atom.

---

# 4
The following is a DFT calculation (PBE) of an optimized crystal structure of InPt6Rh2.

a = 8.436 Å, b = 8.436 Å, c = 3.975 Å
α = 90.00°, β = 90.00°, γ = 90.00°
Space group P4_2/mnm (No. 136)
Asymmetric unit:
In: 0.000 0.000 0.000
Pt: 0.002 0.332 0.000
Pt: 0.167 0.167 0.500
Rh: 0.167 0.833 0.500

## Properties
Its formation energy is -0.1506 eV per atom. Its density of states at the Fermi level is 1.16 states/eV per atom.

---

# 5
The following is a DFT calculation (PBE) of an optimized crystal structure of CePaNb2.

a = 3.502 Å, b = 3.502 Å, c = 7.595 Å
α = 90.00°, β = 90.00°, γ = 90.00°
Space group P4/mmm (No. 123)
Asymmetric unit:
Ce: 0.000 0.000 0.000
Pa: 0.000 0.000 0.500
Nb: 0.500 0.500 0.296

## Properties
Its formation energy is 0.2669 eV per atom. Its density of states at the Fermi level is 2.37 states/eV per atom. The energy above the most stable polymorph in this dataset is 0.000 eV/atom.

---

# 6
The following is a DFT calculation (PBE) of an optimized crystal structure of Sr4TeP2.

a = 5.905 Å, b = 5.905 Å, c = 16.166 Å
α = 90.00°, β = 90.00°, γ = 90.00°
Space group I4/mmm (No. 139)
Asymmetric unit:
Sr: 0.000 0.000 0.202
Sr: 0.000 0.500 0.000
Te: 0.000 0.000 0.000
P: 0.000 0.000 0.380

## Properties
As for the formation energy from raw total energies: -0.680 eV/atom. Its density of states at the Fermi level is 0.15 states/eV per atom. The energy above the most stable polymorph in this dataset is 0.538 eV/atom.